# 1
Density functional theory data (GGA-PBE) for an optimized crystal structure of Tb2Sm6DyEr3.

Cell and atoms, written as POSCAR:
```
Tb2Sm6DyEr3
1.0
-4.173 -4.225 1.806
5.041 -1.773 -3.156
5.470 0.575 10.441
Tb Sm Dy Er
2 6 1 3
direct
0.333 0.667 0.000
0.667 0.333 0.000
0.916 0.583 0.749
0.751 0.751 0.252
0.084 0.417 0.251
0.583 0.916 0.749
0.249 0.249 0.748
0.417 0.084 0.251
0.000 0.000 0.000
0.167 0.833 0.500
0.833 0.167 0.500
0.500 0.500 0.500
```

Calculated formation energy, eV per formula unit: 0.2

=====

# 2
Density functional theory data (GGA-PBE) for an optimized crystal structure of Ti2PPtS.

Cell and atoms, written as POSCAR:
```
Ti2PPtS
1.0
5.083 0.000 0.000
0.000 4.264 0.000
0.000 0.000 5.083
P S Pt Ti
1 1 1 2
direct
0.000 0.500 0.000
0.500 0.500 0.500
0.000 0.000 0.000
0.000 0.000 0.500
0.500 0.000 0.000
```

Raw formation energy, meV per atom: 275

=====

no.,DOS(E_F) (states/eV per atom)
1,1.194
2,1.109